Material: La2RhCCl
Method: DFT, GGA-PBE
State: optimized geometry

Output
E, eV/atom: -5.172
D(E_F), states/eV per cell: 4.7
E_form (uncorrected), meV/atom: 484

Lattice parameters (Å, degrees): 5.350 5.350 4.303 90.00 90.00 90.00
Atoms (fractional coordinates):
La 0.000 0.500 0.000
La 0.500 0.000 0.000
Rh 0.000 0.000 0.500
C 0.500 0.500 0.500
Cl 0.000 0.000 0.000

Material: TbCe2Sc12
Method: DFT, GGA-PBE
State: optimized geometry

Output
E, eV/atom: -5.990
D(E_F), states/eV per cell: 64.9
ΔH_f (0 K), eV/atom: 0.1746

Lattice parameters (Å, degrees): 6.197 6.197 23.060 90.00 90.00 116.44
Atoms (fractional coordinates):
Tb 0.250 0.750 0.999
Tb 0.750 0.250 0.001
Ce 0.250 0.750 0.272
Ce 0.250 0.750 0.728
Ce 0.750 0.250 0.272
Ce 0.750 0.250 0.728
Sc 0.000 0.000 0.440
Sc 0.000 0.000 0.560
Sc 0.000 0.500 0.132
Sc 0.000 0.500 0.418
Sc 0.000 0.500 0.582
Sc 0.000 0.500 0.868
Sc 0.001 0.999 0.083
Sc 0.250 0.250 0.202
Sc 0.250 0.250 0.332
Sc 0.250 0.250 0.668
Sc 0.250 0.250 0.798
Sc 0.499 0.501 0.083
Sc 0.500 0.000 0.132
Sc 0.500 0.000 0.418
Sc 0.500 0.000 0.582
Sc 0.500 0.000 0.868
Sc 0.500 0.500 0.440
Sc 0.500 0.500 0.560
Sc 0.501 0.499 0.917
Sc 0.750 0.750 0.202
Sc 0.750 0.750 0.332
Sc 0.750 0.750 0.668
Sc 0.750 0.750 0.798
Sc 0.999 0.001 0.917

Material: KInP
Method: DFT, GGA-PBE
State: optimized geometry

Output
E, eV/atom: -3.375
ΔH_f (0 K), eV/atom: -0.2927

Lattice parameters (Å, degrees): 7.826 5.862 7.895 90.00 94.87 90.00
Atoms (fractional coordinates):
K 0.142 0.046 0.221
K 0.142 0.454 0.721
K 0.858 0.546 0.279
K 0.858 0.954 0.779
In 0.460 0.712 0.075
In 0.460 0.788 0.575
In 0.540 0.212 0.425
In 0.540 0.288 0.925
P 0.296 0.536 0.336
P 0.296 0.964 0.836
P 0.704 0.036 0.164
P 0.704 0.464 0.664

Material: CoSbTe2Rh
Method: DFT, GGA-PBE
State: optimized geometry

Output
E, eV/atom: -4.340
D(E_F), states/eV per cell: 4.7
E_form (uncorrected), meV/atom: 633

Lattice parameters (Å, degrees): 4.980 4.980 4.704 90.00 90.00 90.00
Atoms (fractional coordinates):
Co 0.000 0.000 0.000
Sb 0.000 0.000 0.500
Te 0.000 0.500 0.000
Te 0.500 0.000 0.000
Rh 0.500 0.500 0.500

> E of number 3 (KInP)?

-3.375 eV/atom

> Which of these has the highest E?

KInP

> Look up the E of the second one.

-5.990 eV/atom

> The lowest E belongs to which entry?

TbCe2Sc12